Material: KMnAs2
Method: DFT, PBE
State: relaxed

abc: 2.9364 3.5550 8.1341
angles: 90.00 98.56 90.00
With the nearest neighbours (Å) after each atom.
Space group P2/m (No. 10)
Symmetry-distinct sites (fractional):
K 0.0000 0.0000 0.0000 [1 per cell]  2 K 2.94
Mn 0.0000 0.0000 0.5000 [1 per cell]  4 As 2.52
As 0.3910 0.5000 0.6911 [2 per cell]  2 Mn 2.52

Calculated values
Calculated total energy in eV/atom: -5.00
Polymorph energy (0 for the lowest one) in meV per atom: 144
DOS(E_F) in states/eV/atom: 0.38